Entry from Alexandria via LeMat-Bulk: a relaxed structure of CuBiN2F (PBE).

The structure belongs to space group P4/mmm (No. 123); the cell edges are 3.8780, 3.8780 and 4.0276 Å and the angles 90.00°, 90.00° and 90.00°. The inequivalent atoms are Cu at (0.0000, 0.0000, 0.0000), Bi at (0.5000, 0.5000, 0.5000), N at (0.0000, 0.5000, 0.0000) and F at (0.0000, 0.0000, 0.5000).

The calculation puts the formation energy from raw total energies at 0.5222 eV per atom. The calculation puts the total magnetic moment at 0.0 Bohr magnetons per cell. The value obtained for the total energy is -23.89 eV for the cell shown.